The following is a PBE-GGA calculation of crystalline ScCdP2Cl at its relaxed geometry, from the Alexandria database.

Unit cell a=4.8944 b=4.8944 c=5.0995 alpha=90.00 beta=90.00 gamma=90.00
With the nearest neighbours (Å) after each atom.
Positions (direct):
Cd 0.0000 0.0000 0.0000  4 P 2.45, 2 Cl 2.55
Cl 0.0000 0.0000 0.5000  2 Cd 2.55
P 0.0000 0.5000 0.0000  2 Cd 2.45
P 0.5000 0.0000 0.0000  2 Cd 2.45
Sc 0.5000 0.5000 0.5000  4 Cl 3.46, 8 P 3.53

Values from the calculation:
Uncorrected formation energy   0.356 eV per atom
Total magnetization   0.000 μB per atom
Space group   P4/mmm (123)
Energy above the most stable polymorph in this dataset   485 meV/atom

The following is a PBE-GGA calculation of crystalline ScCdP2Cl at its relaxed geometry, from the Alexandria database.

Unit cell a=5.0665 b=5.0665 c=4.8538 alpha=90.00 beta=90.00 gamma=90.00
With the nearest neighbours (Å) after each atom.
Positions (direct):
Sc 0.0000 0.0000 0.0000  2 Cl 2.43, 4 P 2.53
P 0.5000 0.0000 0.0000  2 Sc 2.53
P 0.0000 0.5000 0.0000  2 Sc 2.53
Cl 0.0000 0.0000 0.5000  2 Sc 2.43
Cd 0.5000 0.5000 0.5000  8 P 3.51, 4 Cl 3.58

Values from the calculation:
Uncorrected formation energy   -0.130 eV per atom
Total magnetization   0.001 μB per atom
Space group   P4/mmm (123)
Energy above the most stable polymorph in this dataset   0 meV/atom

The following is a PBE-GGA calculation of crystalline CdPSeCl2 at its relaxed geometry, from the Alexandria database.

Unit cell a=4.8658 b=4.8658 c=5.2910 alpha=90.00 beta=90.00 gamma=90.00
With the nearest neighbours (Å) after each atom.
Positions (direct):
Se 0.0000 0.0000 0.0000  4 Cl 2.43, 2 P 2.65
P 0.0000 0.0000 0.5000  2 Se 2.65
Cd 0.5000 0.5000 0.5000  4 P 3.44, 8 Cl 3.59
Cl 0.5000 0.0000 0.0000  2 Se 2.43
Cl 0.0000 0.5000 0.0000  2 Se 2.43

Values from the calculation:
Uncorrected formation energy   0.331 eV per atom
Total magnetization   0.000 μB per atom
Space group   P4/mmm (123)
Energy above the most stable polymorph in this dataset   0 meV/atom

The following is a PBE-GGA calculation of crystalline CdPSeCl2 at its relaxed geometry, from the Alexandria database.

Unit cell a=4.9782 b=5.5479 c=4.9782 alpha=90.00 beta=90.00 gamma=90.00
With the nearest neighbours (Å) after each atom.
Positions (direct):
Cl 0.0000 0.0000 0.5000  2 Cd 2.49
Cl 0.5000 0.0000 0.0000  2 Cd 2.49
Se 0.5000 0.5000 0.5000  4 P 3.52, 8 Cl 3.73
P 0.0000 0.5000 0.0000  2 Cd 2.77
Cd 0.0000 0.0000 0.0000  4 Cl 2.49, 2 P 2.77

Values from the calculation:
Uncorrected formation energy   0.411 eV per atom
Total magnetization   0.100 μB per atom
Space group   P4/mmm (123)
Energy above the most stable polymorph in this dataset   80 meV/atom

Please write out number 4 again, unchanged.
The following is a PBE-GGA calculation of crystalline CdPSeCl2 at its relaxed geometry, from the Alexandria database.

Unit cell a=4.9782 b=5.5479 c=4.9782 alpha=90.00 beta=90.00 gamma=90.00
With the nearest neighbours (Å) after each atom.
Positions (direct):
Cl 0.0000 0.0000 0.5000  2 Cd 2.49
Cl 0.5000 0.0000 0.0000  2 Cd 2.49
Se 0.5000 0.5000 0.5000  4 P 3.52, 8 Cl 3.73
P 0.0000 0.5000 0.0000  2 Cd 2.77
Cd 0.0000 0.0000 0.0000  4 Cl 2.49, 2 P 2.77

Values from the calculation:
Uncorrected formation energy   0.411 eV per atom
Total magnetization   0.100 μB per atom
Space group   P4/mmm (123)
Energy above the most stable polymorph in this dataset   80 meV/atom

Which of these has the lowest uncorrected formation energy?
number 2